(1)
# TaTcTe4

Crystalline TaTcTe4 at its relaxed geometry (PBE, the Alexandria database).

Calculated values
The magnetization comes out at 1.368 μB per formula unit. As for the space group: No. 216. As for the uncorrected formation energy: 1.537 eV/atom.

Cell: 6.090 6.090 6.090 Å, 60.00 60.00 60.00°
Element x y z (fractional)
Ta 0.000 0.000 0.000
Tc 0.750 0.750 0.750
Te 0.375 0.375 0.375
Te 0.375 0.375 0.874
Te 0.375 0.874 0.375
Te 0.874 0.375 0.375



(2)
# SrMg2W

Crystalline SrMg2W at its relaxed geometry (PBE, the Alexandria database).

Calculated values
The magnetization comes out at 0.000 μB per formula unit. As for the space group: No. 65. The calculated formation energy comes out at 2.3 eV per formula unit.

Cell: 4.197 4.214 10.251 Å, 90.00 90.00 90.00°
Element x y z (fractional)
Sr 0.000 0.000 0.000
Sr 0.500 0.500 0.000
Mg 0.000 0.500 0.292
Mg 0.000 0.500 0.708
Mg 0.500 0.000 0.292
Mg 0.500 0.000 0.708
W 0.000 0.000 0.500
W 0.500 0.500 0.500



(3)
# RePdPt3

Crystalline RePdPt3 at its relaxed geometry (PBE, the Alexandria database).

Calculated values
The magnetization comes out at 0.000 μB per formula unit. As for the space group: No. 186. The calculated formation energy comes out at -0.4 eV per formula unit.

Cell: 2.789 2.789 22.845 Å, 90.00 90.00 120.00°
Element x y z (fractional)
Re 0.000 0.000 0.000
Re 0.000 0.000 0.500
Pd 0.333 0.667 0.198
Pd 0.667 0.333 0.698
Pt 0.000 0.000 0.299
Pt 0.000 0.000 0.799
Pt 0.333 0.667 0.596
Pt 0.333 0.667 0.904
Pt 0.667 0.333 0.096
Pt 0.667 0.333 0.404



(4)
# LiCa4Tl3O8

Crystalline LiCa4Tl3O8 at its relaxed geometry (PBE, the Alexandria database).

Calculated values
The magnetization comes out at 0.000 μB per formula unit. As for the space group: No. 166. As for the uncorrected formation energy: -1.818 eV/atom.

Cell: 6.854 6.854 6.854 Å, 60.90 60.90 60.90°
Element x y z (fractional)
Li 0.000 0.000 0.000
Ca 0.000 0.000 0.500
Ca 0.000 0.500 0.000
Ca 0.500 0.000 0.000
Ca 0.500 0.500 0.500
Tl 0.000 0.500 0.500
Tl 0.500 0.000 0.500
Tl 0.500 0.500 0.000
O 0.245 0.245 0.245
O 0.246 0.747 0.747
O 0.253 0.253 0.754
O 0.253 0.754 0.253
O 0.747 0.246 0.747
O 0.747 0.747 0.246
O 0.754 0.253 0.253
O 0.755 0.755 0.755



(5)
# NdDyIrAu

Crystalline NdDyIrAu at its relaxed geometry (PBE, the Alexandria database).

Calculated values
The magnetization comes out at 0.000 μB per formula unit. As for the space group: No. 216. The calculated formation energy comes out at -2.9 eV per formula unit.

Cell: 7.142 7.142 7.142 Å, 90.00 90.00 90.00°
Element x y z (fractional)
Nd 0.000 0.000 0.000
Nd 0.000 0.500 0.500
Nd 0.500 0.000 0.500
Nd 0.500 0.500 0.000
Dy 0.000 0.000 0.500
Dy 0.000 0.500 0.000
Dy 0.500 0.000 0.000
Dy 0.500 0.500 0.500
Ir 0.250 0.250 0.750
Ir 0.250 0.750 0.250
Ir 0.750 0.250 0.250
Ir 0.750 0.750 0.750
Au 0.250 0.250 0.250
Au 0.250 0.750 0.750
Au 0.750 0.250 0.750
Au 0.750 0.750 0.250



(6)
# LiZnTe2

Crystalline LiZnTe2 at its relaxed geometry (PBE, the Alexandria database).

Calculated values
The magnetization comes out at 0.000 μB per formula unit. As for the space group: No. 122. As for the uncorrected formation energy: -0.424 eV/atom.

Cell: 6.458 6.458 11.443 Å, 90.00 90.00 90.00°
Element x y z (fractional)
Li 0.000 0.000 0.000
Li 0.000 0.500 0.250
Li 0.500 0.000 0.750
Li 0.500 0.500 0.500
Zn 0.000 0.000 0.500
Zn 0.000 0.500 0.750
Zn 0.500 0.000 0.250
Zn 0.500 0.500 0.000
Te 0.237 0.250 0.625
Te 0.250 0.737 0.875
Te 0.250 0.763 0.375
Te 0.263 0.250 0.125
Te 0.737 0.750 0.125
Te 0.750 0.237 0.375
Te 0.750 0.263 0.875
Te 0.763 0.750 0.625



(7)
# Cr5Te8

Crystalline Cr5Te8 at its relaxed geometry (PBE, the Alexandria database).

Calculated values
The magnetization comes out at 14.378 μB per formula unit. As for the space group: No. 12. As for the uncorrected formation energy: -0.218 eV/atom.

Cell: 7.272 7.272 9.113 Å, 123.71 123.71 65.81°
Element x y z (fractional)
Cr 0.000 0.000 0.000
Cr 0.266 0.266 0.012
Cr 0.268 0.732 0.500
Cr 0.732 0.268 0.500
Cr 0.734 0.734 0.988
Te 0.029 0.029 0.328
Te 0.036 0.542 0.830
Te 0.451 0.451 0.666
Te 0.458 0.964 0.170
Te 0.542 0.036 0.830
Te 0.549 0.549 0.334
Te 0.964 0.458 0.170
Te 0.971 0.971 0.672



(8)
# Tm5ZnTe2

Crystalline Tm5ZnTe2 at its relaxed geometry (PBE, the Alexandria database).

Calculated values
The magnetization comes out at 0.001 μB per formula unit. As for the space group: No. 63. As for the uncorrected formation energy: -0.447 eV/atom.

Cell: 6.904 6.904 12.693 Å, 90.00 90.00 129.67°
Element x y z (fractional)
Tm 0.054 0.946 0.614
Tm 0.054 0.946 0.886
Tm 0.376 0.624 0.250
Tm 0.386 0.614 0.568
Tm 0.386 0.614 0.932
Tm 0.614 0.386 0.068
Tm 0.614 0.386 0.432
Tm 0.624 0.376 0.750
Tm 0.946 0.054 0.114
Tm 0.946 0.054 0.386
Zn 0.243 0.757 0.750
Zn 0.757 0.243 0.250
Te 0.191 0.809 0.089
Te 0.191 0.809 0.411
Te 0.809 0.191 0.589
Te 0.809 0.191 0.911



(9)
# La4Pr3Sm4

Crystalline La4Pr3Sm4 at its relaxed geometry (PBE, the Alexandria database).

Calculated values
The magnetization comes out at 0.000 μB per formula unit. As for the space group: No. 38. The calculated formation energy comes out at 1.5 eV per formula unit.

Cell: 10.993 6.780 6.780 Å, 51.51 90.00 90.00°
Element x y z (fractional)
La 0.000 0.000 0.000
La 0.207 0.803 0.803
La 0.500 0.925 0.925
La 0.793 0.803 0.803
Pr 0.000 0.294 0.294
Pr 0.294 0.452 0.452
Pr 0.706 0.452 0.452
Sm 0.000 0.594 0.594
Sm 0.305 0.149 0.149
Sm 0.500 0.649 0.649
Sm 0.695 0.149 0.149



(10)
# K10Te4Se

Crystalline K10Te4Se at its relaxed geometry (PBE, the Alexandria database).

Calculated values
The magnetization comes out at 0.001 μB per formula unit. As for the space group: No. 87. As for the uncorrected formation energy: -1.041 eV/atom.

Cell: 9.939 9.939 9.939 Å, 99.61 99.61 131.77°
Element x y z (fractional)
K 0.048 0.339 0.903
K 0.145 0.048 0.709
K 0.250 0.750 0.500
K 0.339 0.436 0.291
K 0.436 0.145 0.097
K 0.564 0.855 0.903
K 0.661 0.564 0.709
K 0.750 0.250 0.500
K 0.855 0.952 0.291
K 0.952 0.661 0.097
Te 0.202 0.399 0.601
Te 0.399 0.798 0.197
Te 0.601 0.202 0.803
Te 0.798 0.601 0.399
Se 0.000 0.000 0.000



(11)
# Nd2Dy6Tm3

Crystalline Nd2Dy6Tm3 at its relaxed geometry (PBE, the Alexandria database).

Calculated values
The magnetization comes out at 0.000 μB per formula unit. As for the space group: No. 139. The calculated formation energy comes out at 3.1 eV per formula unit.

Cell: 16.918 16.918 16.918 Å, 163.96 163.96 22.76°
Element x y z (fractional)
Nd 0.046 0.046 0.000
Nd 0.954 0.954 0.000
Dy 0.123 0.623 0.500
Dy 0.197 0.197 0.000
Dy 0.377 0.877 0.500
Dy 0.623 0.123 0.500
Dy 0.803 0.803 0.000
Dy 0.877 0.377 0.500
Tm 0.300 0.300 0.000
Tm 0.500 0.500 0.000
Tm 0.700 0.700 0.000



(12)
# Na4TmSb3Te8

Crystalline Na4TmSb3Te8 at its relaxed geometry (PBE, the Alexandria database).

Calculated values
The magnetization comes out at 0.000 μB per formula unit. As for the space group: No. 166. As for the uncorrected formation energy: -0.663 eV/atom.

Cell: 9.145 9.145 9.145 Å, 57.98 57.98 57.98°
Element x y z (fractional)
Na 0.000 0.000 0.000
Na 0.000 0.500 0.500
Na 0.500 0.000 0.500
Na 0.500 0.500 0.000
Tm 0.500 0.500 0.500
Sb 0.000 0.000 0.500
Sb 0.000 0.500 0.000
Sb 0.500 0.000 0.000
Te 0.244 0.244 0.244
Te 0.245 0.741 0.741
Te 0.259 0.259 0.755
Te 0.259 0.755 0.259
Te 0.741 0.245 0.741
Te 0.741 0.741 0.245
Te 0.755 0.259 0.259
Te 0.756 0.756 0.756



| no. | ρ (g cm⁻³) |
| --- | --- |
| 1 | 8.21 |
| 2 | 5.86 |
| 3 | 18.95 |
| 4 | 6.49 |
| 5 | 12.69 |
| 6 | 4.56 |
| 7 | 6.45 |
| 8 | 8.31 |
| 9 | 6.63 |
| 10 | 2.44 |
| 11 | 7.95 |
| 12 | 5.30 |